{
  "formula": "Ca2LaCl",
  "functional": "PBE",
  "state": "optimized geometry",
  "relative_energy_ev_per_atom": 0.451,
  "density_g_cm3": 3.03,
  "raw_formation_energy_ev_per_atom": -0.36,
  "sg": "No. 65",
  "lattice_angstrom": [[6.445, -0.021, 0.000], [-2.685, 5.859, 0.000], [0.000, 0.000, 3.694]],
  "species": ["Ca", "Ca", "La", "Cl"],
  "fractional_positions": [[0.500, 0.500, 0.000], [0.000, 0.000, 0.000], [0.000, 0.500, 0.500], [0.500, 0.000, 0.500]]
}